A plane-wave DFT calculation with PBE was carried out for crystalline Nb2Ga2Ni15 at its relaxed geometry.

extended XYZ file:
```
19
Lattice="-1.888 -3.847 -4.478 5.344 -0.362 -3.119 2.080 -5.284 2.485" Properties=species:S:1:pos:R:3 pbc="T T T"
Nb 3.515 -6.028 -3.247
Nb 2.021 -3.465 -1.866
Ga 4.930 -8.454 -4.554
Ga 0.606 -1.039 -0.560
Ni 2.672 -0.181 -1.560
Ni 1.040 -2.642 1.242
Ni -0.944 -1.924 -2.239
Ni 0.814 -4.826 0.263
Ni 0.420 -2.735 -4.045
Ni 4.303 -1.932 -1.332
Ni 3.037 -1.474 -3.553
Ni 3.121 -3.714 0.697
Ni -0.622 -4.306 -2.257
Ni 4.519 -3.440 -3.285
Ni 2.921 -5.850 -0.541
Ni 0.979 -5.147 -3.950
Ni 1.017 -6.053 -1.828
Ni 2.615 -3.643 -4.572
Ni 4.557 -4.347 -1.163
```

=====

A plane-wave DFT calculation with PBE was carried out for crystalline NbGa2Ni8 at its relaxed geometry.

extended XYZ file:
```
11
Lattice="-1.127 -0.746 3.552 -5.885 -0.237 -1.923 2.252 -5.751 -0.499" Properties=species:S:1:pos:R:3 pbc="T T T"
Nb -0.563 -0.373 1.776
Ga -2.850 -2.293 -1.392
Ga -0.783 -3.694 -1.030
Ni -5.218 -4.970 1.354
Ni -3.053 -6.438 1.733
Ni -2.978 -4.353 0.163
Ni -0.325 -4.760 0.925
Ni -4.436 -1.974 0.205
Ni -1.782 -2.380 0.967
Ni -1.708 -0.296 -0.603
Ni 0.458 -1.763 -0.224
```

Summary:
polymorph energy (0 for the lowest one)	7	meV per atom

=====

A plane-wave DFT calculation with PBE was carried out for crystalline NbGa2Ni at its relaxed geometry.

extended XYZ file:
```
4
Lattice="0.000 3.101 3.101 3.101 0.000 3.101 3.101 3.101 0.000" Properties=species:S:1:pos:R:3 pbc="T T T"
Ni 0.000 0.000 0.000
Nb 3.101 3.101 3.101
Ga 1.550 1.550 1.550
Ga 4.651 4.651 4.651
```

=====

A plane-wave DFT calculation with PBE was carried out for crystalline NbGaNi4 at its relaxed geometry.

extended XYZ file:
```
6
Lattice="3.358 0.000 0.971 1.881 4.122 -0.213 0.147 -1.490 5.782" Properties=species:S:1:pos:R:3 pbc="T T T"
Nb 0.000 0.000 0.000
Ga 2.694 1.316 3.270
Ni 3.858 0.807 5.535
Ni 1.164 -0.466 2.269
Ni 1.529 1.825 1.006
Ni 4.224 3.098 4.272
```

=====

A plane-wave DFT calculation with PBE was carried out for crystalline Nb3GaNi at its relaxed geometry.

extended XYZ file:
```
5
Lattice="-3.646 2.727 0.737 -1.155 -0.340 -4.453 -2.578 -3.704 0.952" Properties=species:S:1:pos:R:3 pbc="T T T"
Ni 0.000 0.000 0.000
Nb -0.578 -0.170 -2.226
Nb -1.289 -1.852 0.476
Nb -1.823 1.364 0.369
Ga -3.690 -0.658 -1.382
```

Summary:
polymorph energy (0 for the lowest one)	0	meV per atom

=====

A plane-wave DFT calculation with PBE was carried out for crystalline Nb2GaNi at its relaxed geometry.

extended XYZ file:
```
8
Lattice="-3.095 6.023 -1.943 -2.570 0.780 6.514 -0.621 4.767 2.994" Properties=species:S:1:pos:R:3 pbc="T T T"
Ni -2.833 3.402 2.285
Ni -3.011 4.475 5.897
Nb -2.342 4.919 0.392
Nb -2.218 2.567 4.533
Nb -2.648 6.144 4.106
Nb -5.365 9.511 6.099
Ga 0.000 0.000 0.000
Ga -3.274 7.096 1.669
```

=====

| no. | formation enthalpy at 0 K (meV per atom) | size of the total moment (μB per cell) |
| --- | --- | --- |
| 1 | -83 | 1.04 |
| 2 | -96 | 0.00 |
| 3 | -72 | 0.65 |
| 4 | -266 | 0.00 |
| 5 | 681 | 0.00 |
| 6 | 136 | 0.00 |